The following is a PBE calculation of B4C after structural relaxation, from Alexandria via LeMat-Bulk.

Cell and atoms, written as extended XYZ:
```
10
Lattice="2.811 0.090 11.970 1.462 2.402 11.970 0.154 0.090 12.294" Properties=species:S:1:pos:R:3 pbc="T T T"
B 3.532 2.059 28.908
B 0.706 0.412 5.782
B 2.647 1.543 21.665
B 4.215 2.457 34.497
B 1.728 1.008 14.147
B 3.330 1.942 27.254
B 2.414 1.408 19.761
B 0.020 0.012 0.167
C 0.894 0.521 7.315
C 1.541 0.899 12.614
```

Energy relative to the lowest polymorph listed for this composition: 714 meV/atom
Formation energy: 0.612 eV per atom



The following is a PBE calculation of Os2PtSe after structural relaxation, from Alexandria via LeMat-Bulk.

Cell and atoms, written as extended XYZ:
```
8
Lattice="5.330 0.000 0.000 0.000 5.330 0.000 2.665 2.665 6.016" Properties=species:S:1:pos:R:3 pbc="T T T"
Os 3.903 1.333 1.504
Os 1.427 3.998 1.504
Os 3.998 4.093 4.512
Os 6.663 6.568 4.512
Se 2.665 2.665 0.000
Se 2.665 5.330 3.008
Pt 0.000 0.000 0.000
Pt 5.330 2.665 3.008
```

ΔE_f (raw): 1071 meV/atom



The following is a PBE calculation of KCuHgO2 after structural relaxation, from Alexandria via LeMat-Bulk.

Cell and atoms, written as extended XYZ:
```
5
Lattice="4.181 0.000 0.000 0.000 4.181 0.000 0.000 0.000 5.001" Properties=species:S:1:pos:R:3 pbc="T T T"
O 0.000 2.091 0.000
O 2.091 0.000 0.000
K 2.091 2.091 2.500
Hg 0.000 0.000 2.500
Cu 0.000 0.000 0.000
```

Energy relative to the lowest polymorph listed for this composition: 562 meV/atom
ΔE_f (raw): -119 meV/atom



The following is a PBE calculation of SmYAu5 after structural relaxation, from Alexandria via LeMat-Bulk.

Cell and atoms, written as extended XYZ:
```
14
Lattice="5.228 -0.322 -0.942 -0.945 5.152 -0.942 -0.157 -0.177 11.494" Properties=species:S:1:pos:R:3 pbc="T T T"
Sm 0.000 0.000 0.000
Sm -0.078 -0.088 5.747
Y 2.493 2.024 1.931
Y 1.633 2.629 7.678
Au -0.327 2.820 1.163
Au 3.430 2.093 5.053
Au 2.760 -0.076 6.909
Au 4.745 0.027 1.931
Au 2.380 0.909 10.303
Au 1.746 3.744 -0.694
Au -0.619 4.625 7.678
Au 1.365 4.728 2.699
Au 0.696 2.560 4.556
Au 4.453 1.833 8.446
```

Formation energy: -0.645 eV per atom



The following is a PBE calculation of SnS2Cl after structural relaxation, from Alexandria via LeMat-Bulk.

Cell and atoms, written as extended XYZ:
```
4
Lattice="-4.667 -0.967 0.187 -2.273 0.016 4.194 -3.116 3.468 1.011" Properties=species:S:1:pos:R:3 pbc="T T T"
S -2.514 0.629 1.348
S -7.542 1.888 4.044
Sn -5.028 1.259 2.696
Cl 0.000 0.000 0.000
```

Energy relative to the lowest polymorph listed for this composition: 469 meV/atom
ΔE_f (raw): 345 meV/atom



The following is a PBE calculation of KTiH2S2O9 after structural relaxation, from Alexandria via LeMat-Bulk.

Cell and atoms, written as extended XYZ:
```
30
Lattice="-1.424 -0.295 5.108 -4.442 -6.317 -1.603 6.161 -6.875 1.321" Properties=species:S:1:pos:R:3 pbc="T T T"
K 2.142 -7.783 1.528
K -1.847 -5.704 3.297
Ti 0.253 -2.555 4.064
Ti 0.042 -10.932 0.761
H 4.181 -7.947 4.848
H -3.886 -5.541 -0.023
H -5.246 -6.327 2.313
H 5.541 -7.160 2.512
S 1.192 -10.375 3.875
S -0.897 -3.112 0.951
S -1.637 -8.015 0.461
S 1.932 -5.472 4.364
O 0.656 -10.069 2.482
O 0.290 -3.283 0.011
O -0.361 -3.418 2.343
O 0.005 -10.204 4.814
O 2.194 -9.376 4.212
O -1.899 -4.111 0.614
O 1.685 -11.762 3.932
O -1.390 -1.725 0.893
O 3.072 -5.732 3.406
O -2.127 -7.621 -0.913
O -2.777 -7.755 1.419
O 2.422 -5.867 5.739
O 1.651 -4.011 4.370
O -1.356 -9.476 0.455
O 0.790 -6.296 3.998
O -0.495 -7.191 0.827
O -1.046 -0.978 3.793
O 1.341 -12.509 1.032
```



The following is a PBE calculation of Dy5Sc2In4 after structural relaxation, from Alexandria via LeMat-Bulk.

Cell and atoms, written as extended XYZ:
```
11
Lattice="-2.990 1.462 -0.958 -5.104 -7.689 4.194 3.723 7.676 6.353" Properties=species:S:1:pos:R:3 pbc="T T T"
Dy -1.826 -0.846 4.408
Dy -2.544 2.295 5.181
Dy -3.521 -3.400 5.801
Dy -1.495 0.731 -0.479
Dy -0.849 4.849 3.788
Sc -4.259 -0.126 6.838
Sc -0.112 1.574 2.751
In -4.097 -2.408 2.850
In -1.369 -2.062 1.125
In -0.273 3.857 6.739
In -3.735 -5.627 3.069
```

Formation energy: 0.029 eV per atom



The following is a PBE calculation of Ac2Sm5Ho3 after structural relaxation, from Alexandria via LeMat-Bulk.

Cell and atoms, written as extended XYZ:
```
20
Lattice="10.093 2.987 -5.201 1.793 8.842 -4.720 -3.501 -2.980 11.385" Properties=species:S:1:pos:R:3 pbc="T T T"
Ac 7.700 8.040 -0.344
Ac 0.685 0.809 1.808
Ac 2.653 6.518 2.270
Ac 5.731 2.331 -0.805
Sm -0.085 2.183 7.715
Sm 8.470 6.665 -6.251
Sm 9.540 7.951 -3.436
Sm 3.912 2.415 2.353
Sm -1.155 0.898 4.901
Sm 4.473 6.433 -0.889
Sm 6.261 5.106 1.818
Sm 2.123 3.742 -0.354
Sm 2.454 0.796 5.234
Sm 5.931 8.053 -3.770
Ho 0.796 6.585 5.314
Ho 7.589 2.264 -3.849
Ho 7.173 5.293 -2.937
Ho 1.212 3.555 4.402
Ho 0.906 6.532 -1.121
Ho 7.479 2.317 2.585
```

Formation energy: 0.197 eV per atom



The following is a PBE calculation of NaSc2Mo after structural relaxation, from Alexandria via LeMat-Bulk.

Cell and atoms, written as extended XYZ:
```
4
Lattice="1.894 0.000 10.593 -0.947 1.640 10.593 -0.947 -1.640 10.593" Properties=species:S:1:pos:R:3 pbc="T T T"
Sc 0.000 0.000 28.453
Sc 0.000 0.000 3.325
Na 0.000 0.000 0.000
Mo 0.000 0.000 15.889
```

Energy relative to the lowest polymorph listed for this composition: 0 meV/atom
Formation energy: 0.326 eV per atom



The following is a PBE calculation of LiCu2Pd5 after structural relaxation, from Alexandria via LeMat-Bulk.

Cell and atoms, written as extended XYZ:
```
16
Lattice="-2.240 -5.818 -2.084 4.518 -0.029 -4.775 2.314 0.418 6.711" Properties=species:S:1:pos:R:3 pbc="T T T"
Li 2.865 -4.176 -1.789
Li 1.726 -1.253 1.641
Cu 1.308 -0.829 -2.009
Cu -0.800 -3.731 -2.007
Cu 3.077 -2.116 -4.852
Cu 0.969 -5.018 -4.850
Pd 3.590 -2.613 0.270
Pd -1.063 -4.583 0.404
Pd 0.000 0.000 0.000
Pd 1.139 -2.924 -3.430
Pd 5.654 -0.846 -0.552
Pd 0.895 -3.731 2.252
Pd 1.591 -5.516 0.157
Pd 3.696 -1.698 -2.399
Pd 3.000 0.088 -0.305
Pd 1.001 -2.815 -0.418
```

Energy relative to the lowest polymorph listed for this composition: 102 meV/atom
Formation energy: -0.086 eV per atom



The following is a PBE calculation of Cs4BiH2 after structural relaxation, from Alexandria via LeMat-Bulk.

Cell and atoms, written as extended XYZ:
```
14
Lattice="-3.732 -1.390 -8.720 2.281 -8.303 4.216 -6.550 4.461 5.424" Properties=species:S:1:pos:R:3 pbc="T T T"
Cs -4.992 -1.751 -5.193
Cs -1.237 -3.983 0.167
Cs -6.476 -3.108 -1.787
Cs -7.079 1.200 -2.651
Cs -3.464 0.110 -1.468
Cs -6.302 1.835 2.185
Cs -5.700 -2.473 3.049
Cs -2.765 -5.844 -3.558
Bi -2.498 -4.344 3.694
Bi -8.000 -5.232 0.920
H -6.389 -0.636 0.199
H -1.974 -7.019 -0.405
H -3.114 -2.867 -2.513
H -4.523 0.058 4.559
```



The following is a PBE calculation of CdH2PdRh after structural relaxation, from Alexandria via LeMat-Bulk.

Cell and atoms, written as extended XYZ:
```
5
Lattice="3.148 0.000 0.000 0.000 3.148 0.000 -1.574 -1.574 5.606" Properties=species:S:1:pos:R:3 pbc="T T T"
Cd 1.574 1.574 0.063
H 1.574 0.000 2.702
H 0.000 1.574 2.702
Pd 1.574 1.574 3.912
Rh 0.000 0.000 1.833
```



Number 1: D(E_F) 0.105 states/eV per atom, calculated total energy -6.574 eV/atom, mass density 2.4 g/cm3. Number 2: D(E_F) 0.513 states/eV per atom, calculated total energy -6.925 eV/atom, mass density 12.7 g/cm3. Number 3: D(E_F) 0.780 states/eV per atom, calculated total energy -3.201 eV/atom, mass density 6.4 g/cm3. Number 4: D(E_F) 0.580 states/eV per atom, calculated total energy -4.583 eV/atom, mass density 13.4 g/cm3. Number 5: D(E_F) 1.260 states/eV per atom, calculated total energy -3.181 eV/atom, mass density 4.7 g/cm3. Number 6: D(E_F) 0.139 states/eV per atom, calculated total energy -6.249 eV/atom, mass density 2.6 g/cm3. Number 7: D(E_F) 1.262 states/eV per atom, calculated total energy -4.210 eV/atom, mass density 7.0 g/cm3. Number 8: D(E_F) 1.621 states/eV per atom, calculated total energy -4.357 eV/atom, mass density 7.7 g/cm3. Number 9: D(E_F) 1.291 states/eV per atom, calculated total energy -5.877 eV/atom, mass density 3.5 g/cm3. Number 10: D(E_F) 1.034 states/eV per atom, calculated total energy -4.595 eV/atom, mass density 9.5 g/cm3. Number 11: D(E_F) 0.943 states/eV per atom, calculated total energy -2.133 eV/atom, mass density 3.6 g/cm3. Number 12: D(E_F) 0.188 states/eV per atom, calculated total energy -4.197 eV/atom, mass density 9.7 g/cm3.